# TbYHo4 GGA-PBE optimized geometry
data_TbYHo4
_chemical_formula_sum 'Tb4 Y4 Ho16'
_cell_length_a 9.252
_cell_length_b 9.252
_cell_length_c 9.252
_cell_angle_alpha 90.00
_cell_angle_beta 90.00
_cell_angle_gamma 90.00
_symmetry_space_group_name_H-M 'F -4 3 m'
_symmetry_Int_Tables_number 216
_symmetry_space_group_name_Hall 'F -4 2 3'
loop_
_atom_site_label
_atom_site_type_symbol
_atom_site_fract_x
_atom_site_fract_y
_atom_site_fract_z
Tb1 Tb 0.000 0.000 0.000
Y1 Y 0.250 0.250 0.750
Ho1 Ho 0.125 0.125 0.375
# Formation enthalpy at 0 K, eV/atom: 0.255
# Energy above the lowest structure with this stoichiometry, meV per atom: 235.7

---

# Cs4SrBr6 GGA-PBE optimized geometry
data_Cs4SrBr6
_chemical_formula_sum 'Cs24 Sr6 Br36'
_cell_length_a 14.0516
_cell_length_b 14.0516
_cell_length_c 17.6452
_cell_angle_alpha 90.00
_cell_angle_beta 90.00
_cell_angle_gamma 120.00
_symmetry_space_group_name_H-M 'R -3 c'
_symmetry_Int_Tables_number 167
_symmetry_space_group_name_Hall '-R 3 2"c'
loop_
_atom_site_label
_atom_site_type_symbol
_atom_site_fract_x
_atom_site_fract_y
_atom_site_fract_z
Cs1 Cs 0.0000 0.0000 0.2500
Cs2 Cs 0.0000 0.3720 0.2500
Sr1 Sr 0.0000 0.0000 0.0000
Br1 Br 0.0268 0.1895 0.3988
# ΔE_f (raw), eV per formula unit: -20.9

---

# Er5TlRu4 GGA-PBE optimized geometry
data_Er5TlRu4
_chemical_formula_sum 'Er5 Tl1 Ru4'
_cell_length_a 3.387
_cell_length_b 3.387
_cell_length_c 18.160
_cell_angle_alpha 90.00
_cell_angle_beta 90.00
_cell_angle_gamma 90.00
_symmetry_space_group_name_H-M 'P 4/m m m'
_symmetry_Int_Tables_number 123
_symmetry_space_group_name_Hall '-P 4 2'
loop_
_atom_site_label
_atom_site_type_symbol
_atom_site_fract_x
_atom_site_fract_y
_atom_site_fract_z
Er1 Er 0.000 0.000 0.000
Er2 Er 0.000 0.000 0.184
Er3 Er 0.000 0.000 0.367
Tl1 Tl 0.500 0.500 0.500
Ru1 Ru 0.500 0.500 0.093
Ru2 Ru 0.500 0.500 0.282
# Formation enthalpy at 0 K, eV/atom: -0.420

---

# SmDy4Rh5 GGA-PBE optimized geometry
data_SmDy4Rh5
_chemical_formula_sum 'Sm1 Dy4 Rh5'
_cell_length_a 3.410
_cell_length_b 3.410
_cell_length_c 17.510
_cell_angle_alpha 90.00
_cell_angle_beta 90.00
_cell_angle_gamma 90.00
_symmetry_space_group_name_H-M 'P 4/m m m'
_symmetry_Int_Tables_number 123
_symmetry_space_group_name_Hall '-P 4 2'
loop_
_atom_site_label
_atom_site_type_symbol
_atom_site_fract_x
_atom_site_fract_y
_atom_site_fract_z
Sm1 Sm 0.000 0.000 0.000
Dy1 Dy 0.000 0.000 0.202
Dy2 Dy 0.000 0.000 0.401
Rh1 Rh 0.500 0.500 0.105
Rh2 Rh 0.500 0.500 0.302
Rh3 Rh 0.500 0.500 0.500
# Formation enthalpy at 0 K, eV/atom: -0.835

---

# MgPbN2F GGA-PBE optimized geometry
data_MgPbN2F
_chemical_formula_sum 'Mg1 Pb1 N2 F1'
_cell_length_a 4.270
_cell_length_b 4.270
_cell_length_c 4.323
_cell_angle_alpha 90.00
_cell_angle_beta 90.00
_cell_angle_gamma 90.00
_symmetry_space_group_name_H-M 'P 4/m m m'
_symmetry_Int_Tables_number 123
_symmetry_space_group_name_Hall '-P 4 2'
loop_
_atom_site_label
_atom_site_type_symbol
_atom_site_fract_x
_atom_site_fract_y
_atom_site_fract_z
Mg1 Mg 0.000 0.000 0.000
Pb1 Pb 0.500 0.500 0.500
N1 N 0.000 0.500 0.500
F1 F 0.500 0.500 0.000
# Energy above the lowest structure with this stoichiometry, meV per atom: 508.3
# ΔE_f (raw), eV per formula unit: 2.6

---

# BeReIr GGA-PBE optimized geometry
data_BeReIr
_chemical_formula_sum 'Be4 Re4 Ir4'
_cell_length_a 4.055
_cell_length_b 9.213
_cell_length_c 3.999
_cell_angle_alpha 90.00
_cell_angle_beta 90.00
_cell_angle_gamma 90.00
_symmetry_space_group_name_H-M 'C m c m'
_symmetry_Int_Tables_number 63
_symmetry_space_group_name_Hall '-C 2c 2'
loop_
_atom_site_label
_atom_site_type_symbol
_atom_site_fract_x
_atom_site_fract_y
_atom_site_fract_z
Be1 Be 0.000 0.247 0.250
Re1 Re 0.000 0.413 0.750
Ir1 Ir 0.000 0.102 0.750
# Formation enthalpy at 0 K, eV/atom: -0.317
# Energy above the lowest structure with this stoichiometry, meV per atom: 0.0

---

| no. | E (eV for the cell shown) | M_tot (μB per cell) |
| --- | --- | --- |
| 1 | -111.5 | 3.07 |
| 2 | -216.0 | 0.00 |
| 3 | -66.5 | 0.00 |
| 4 | -68.2 | 0.00 |
| 5 | -21.3 | 0.33 |
| 6 | -103.9 | 0.00 |